LiMnBe2 | Alexandria via LeMat-Bulk | PBEsol | relaxed; energy = -18.7 eV/cell; ρ = 3.30 g/cm3; SG = C2/m, No. 12; total magnetization = 0.004 Bohr magnetons per cell
1.0
-1.6369 0.0696 1.4611
2.8790 -2.2403 1.6831
1.7449 4.0453 1.7621
Li Mn Be
1 1 2
direct
0.5000 0.0000 0.0000
0.0000 0.0000 0.5000
0.7450 0.4900 0.7012
0.2550 0.5100 0.2988